Crystalline AcMn3Tl2F12 at its relaxed geometry. Source: Alexandria via LeMat-Bulk, functional PBE+U.

abc: 7.8064 7.8064 17.5321
angles: 90.00 90.00 120.00
Space group R-3m (No. 166, hexagonal axes)
Asymmetric unit:
Ac1 0.0000 0.0000 0.0000 [3 per cell]
Mn1 0.0000 0.5000 0.5000 [9 per cell]
Tl1 0.0000 0.0000 0.3770 [6 per cell]
F1 0.0230 0.5115 0.3804 [18 per cell]
F2 0.0968 0.5484 0.8114 [18 per cell]

Summary:
Energy (eV per atom): -5.76
Spin magnetization (μB per cell): 42.0